Entry 1:
DyInPt2, optimized geometry, DFT PBE; space group = P4/mmm, No. 123; magnetic moment = 0.00 μB per formula unit; DFT formation energy = -0.864 eV/atom
1.0
-3.368 -0.281 0.845
-0.645 -1.509 -3.073
1.147 -5.846 2.629
In Dy Pt
1 1 2
direct
0.500 0.500 0.000
0.500 0.500 0.500
0.000 0.000 0.237
0.000 0.000 0.763

=====

Entry 2:
Dy5In2Pt, optimized geometry, DFT PBE; space group = Pbam, No. 55; magnetic moment = 0.00 μB per formula unit; DFT formation energy = -0.585 eV/atom
1.0
4.835 0.000 0.000
0.000 7.211 0.000
0.000 0.000 12.542
In Pt Dy
4 2 10
direct
0.500 0.404 0.838
0.500 0.096 0.338
0.500 0.596 0.162
0.500 0.904 0.662
0.000 0.000 0.000
0.000 0.500 0.500
0.000 0.371 0.287
0.500 0.178 0.082
0.000 0.871 0.213
0.500 0.822 0.918
0.500 0.322 0.582
0.000 0.129 0.787
0.000 0.629 0.713
0.000 0.000 0.500
0.500 0.678 0.418
0.000 0.500 0.000

=====

Entry 3:
Dy5In2Pt2, optimized geometry, DFT PBE; space group = Cmce, No. 64; magnetic moment = 0.00 μB per formula unit; DFT formation energy = -0.757 eV/atom
1.0
-4.098 -4.861 3.558
0.870 -5.363 -6.325
6.009 -0.270 6.552
In Dy Pt
4 10 4
direct
0.000 0.215 0.429
0.000 0.785 0.571
0.500 0.715 0.429
0.500 0.285 0.571
0.840 0.560 0.760
0.340 0.700 0.760
0.160 0.200 0.760
0.840 0.800 0.240
0.000 0.000 0.000
0.500 0.500 0.000
0.160 0.440 0.240
0.660 0.300 0.240
0.660 0.060 0.760
0.340 0.940 0.240
0.865 0.374 0.000
0.135 0.626 0.000
0.365 0.126 0.000
0.635 0.874 0.000